DFT (GGA-PBE) results for a relaxed structure of PuMg2Al.

Computed properties:
Crystal system: trigonal
Offset from the most stable computed form: 0.1713 eV per atom
E: -5.09 eV/atom
Energy relative to the elements: 0.223 eV/atom

Cell: 3.0491 3.0491 11.3763 Å, 82.30 82.30 60.00°
Last column: nearest neighbours and their distance in Å.
Fractional coordinates of all 4 atoms:
Mg  0.0943  0.0943  0.7171  3 Al 3.01, 6 Mg 3.05, 1 Pu 3.18
Mg  0.9057  0.9057  0.2829  3 Al 3.01, 6 Mg 3.05, 1 Pu 3.18
Al  0.5000  0.5000  0.5000  6 Mg 3.01, 6 Al 3.05
Pu  0.0000  0.0000  0.0000  6 Pu 3.05, 2 Mg 3.18